Material: TiMnIrO6
Method: DFT, PBE with a Hubbard U
State: optimized geometry

symmetry = P-31c
Fermi-level density of states = 5.33 states/eV/cell
raw total energy = -7.642 eV per atom

a = 5.048 Å, b = 5.048 Å, c = 9.123 Å
α = 90.00°, β = 90.00°, γ = 120.00°
Positions (direct):
O 0.347 0.001 0.132
O 0.653 0.653 0.132
O 0.999 0.347 0.132
O 0.347 0.347 0.368
O 0.001 0.653 0.868
O 0.001 0.347 0.632
O 0.653 0.653 0.632
O 0.347 0.999 0.632
O 0.653 0.999 0.868
O 0.347 0.347 0.868
O 0.653 0.001 0.368
O 0.999 0.653 0.368
Mn 0.000 0.000 0.000
Mn 0.000 0.000 0.500
Ti 0.667 0.333 0.750
Ti 0.333 0.667 0.250
Ir 0.667 0.333 0.250
Ir 0.333 0.667 0.750